## Pr3TlHg4 (GGA-PBE)

Data for crystalline Pr3TlHg4 at its relaxed geometry.

Summary:
formation energy from the elements	-0.41	eV per atom
symmetry	R-3m (166)
size of the total moment	0.00	μB/cell
raw total energy	-2.651	eV per atom

a = 9.648 Å, b = 9.648 Å, c = 9.648 Å
α = 32.10°, β = 32.10°, γ = 32.10°
Sites, in units of the cell vectors:
Pr 0.000 0.000 0.000
Pr 0.240 0.240 0.240
Pr 0.760 0.760 0.760
Tl 0.500 0.500 0.500
Hg 0.119 0.119 0.119
Hg 0.370 0.370 0.370
Hg 0.630 0.630 0.630
Hg 0.881 0.881 0.881